[1]
A geometry-optimized Cs2Ca3AcF12 structure, computed with PBE.

Computed properties:
As for the space group: R-3m (166).

Cell: 7.693 7.693 7.693 Å, 65.80 65.80 65.80°
Fractional coordinates of all 18 atoms:
Cs (0.109, 0.109, 0.109)
Cs (0.891, 0.891, 0.891)
Ca (0.000, 0.500, 0.500)
Ca (0.500, 0.000, 0.500)
Ca (0.500, 0.500, 0.000)
Ac (0.500, 0.500, 0.500)
F (0.118, 0.633, 0.633)
F (0.245, 0.245, 0.605)
F (0.245, 0.605, 0.245)
F (0.367, 0.367, 0.882)
F (0.367, 0.882, 0.367)
F (0.395, 0.755, 0.755)
F (0.605, 0.245, 0.245)
F (0.633, 0.118, 0.633)
F (0.633, 0.633, 0.118)
F (0.755, 0.395, 0.755)
F (0.755, 0.755, 0.395)
F (0.882, 0.367, 0.367)

=====

[2]
A geometry-optimized K2BaZr structure, computed with PBE.

Computed properties:
The calculation puts the formation energy at 768 meV per atom. As for the space group: R-3m (166). Its energy above the most stable polymorph in this dataset is 0.187 eV per atom.

Cell: 14.835 14.835 14.835 Å, 14.61 14.61 14.61°
Fractional coordinates of all 4 atoms:
K (0.240, 0.240, 0.240)
K (0.760, 0.760, 0.760)
Ba (0.000, 0.000, 0.000)
Zr (0.500, 0.500, 0.500)

=====

[3]
A geometry-optimized Li3Ag4Au structure, computed with PBE.

Computed properties:
The calculation puts the formation energy at -216 meV per atom. As for the space group: C2/m (12). Its energy above the most stable polymorph in this dataset is 0.025 eV per atom.

Cell: 8.350 8.350 4.139 Å, 104.21 104.21 28.40°
Fractional coordinates of all 8 atoms:
Li (0.000, 0.000, 0.000)
Li (0.252, 0.252, 0.252)
Li (0.748, 0.748, 0.748)
Ag (0.130, 0.130, 0.630)
Ag (0.371, 0.371, 0.871)
Ag (0.629, 0.629, 0.129)
Ag (0.870, 0.870, 0.370)
Au (0.500, 0.500, 0.500)

=====

no.,energy (eV per atom)
1,-5.346
2,-2.398
3,-2.769